CsTiHgI6: relaxed, PBE.

Computed properties:
DFT total energy (eV per cell): -25.131
Raw formation energy (eV per atom): -0.75
Volume (A^3/atom): 47.06

```
CsTiHgI6
1.0
-0.711 -7.486 -2.561
3.347 -4.445 -8.518
7.416 -1.986 0.211
I Cs Ti Hg
6 1 1 1
Direct
0.397 0.064 0.798 I
0.791 0.189 0.651 I
0.147 0.569 0.687 I
0.356 0.632 0.186 I
0.965 0.505 0.299 I
0.588 0.118 0.287 I
0.508 0.719 0.611 Cs
0.376 0.343 0.484 Ti
0.871 0.861 0.997 Hg
```

Cs2TiHg2I6: relaxed, PBE.

Computed properties:
DFT total energy (eV per cell): -28.902
Raw formation energy (eV per atom): -0.85
Volume (A^3/atom): 49.77

```
Cs2TiHg2I6
1.0
9.283 -0.126 -0.112
-4.698 8.008 -0.112
-1.819 -3.127 7.513
I Hg Cs Ti
6 2 2 1
Direct
0.907 0.666 0.277 I
0.162 0.162 0.288 I
0.838 0.838 0.712 I
0.334 0.093 0.723 I
0.666 0.907 0.277 I
0.093 0.334 0.723 I
0.805 0.195 0.000 Hg
0.195 0.805 0.000 Hg
0.330 0.670 0.500 Cs
0.670 0.330 0.500 Cs
0.000 0.000 0.500 Ti
```